First-principles (PBE) data for crystalline Cr2SbPb at its relaxed geometry, as listed in Alexandria via LeMat-Bulk.

The value obtained for the energy relative to the elements, uncorrected is 0.519 eV/atom. The value obtained for the magnetization is 1.898 μB/atom. Its space group is C2/m.

abc: 4.6655 4.6655 5.6767
angles: 75.18 75.18 48.29
Last column: magnetic moment on the atom in μB.
Fractional coordinates of all 4 atoms:
Sb 0.2500 0.2500 0.2500  -0.12
Cr 0.9912 0.9912 0.0233  3.56
Pb 0.7500 0.7500 0.7500  -0.06
Cr 0.5088 0.5088 0.4767  3.56

---

First-principles (PBE) data for crystalline Dy6P2CSe3 at its relaxed geometry, as listed in Alexandria via LeMat-Bulk.

The value obtained for the energy relative to the elements, uncorrected is -1.574 eV/atom. The value obtained for the magnetization is 0.000 μB/atom. Its space group is C2/m.

abc: 3.9307 8.0840 8.9730
angles: 104.27 102.65 90.00
Fractional coordinates of all 12 atoms:
P 0.1656 0.3318 0.3312
Dy 0.6692 0.5730 0.3383
Dy 0.6483 0.0839 0.2965
Dy 0.3308 0.4270 0.6617
Dy 0.9983 0.7867 0.9965
Se 0.1699 0.8361 0.3399
Se 0.5000 0.5000 0.0000
Se 0.8301 0.1639 0.6601
P 0.8344 0.6682 0.6688
C 0.5000 0.0000 0.0000
Dy 0.3517 0.9161 0.7035
Dy 0.0017 0.2133 0.0035

---

First-principles (PBE) data for crystalline GeS2BrN at its relaxed geometry, as listed in Alexandria via LeMat-Bulk.

The value obtained for the energy relative to the elements, uncorrected is 1.009 eV/atom. The value obtained for the magnetization is 0.000 μB/atom. Its space group is P4/mmm.

abc: 4.9769 4.9769 3.6270
angles: 90.00 90.00 90.00
Fractional coordinates of all 5 atoms:
Ge 0.0000 0.0000 0.0000
S 0.5000 0.0000 0.0000
S 0.0000 0.5000 0.0000
Br 0.5000 0.5000 0.5000
N 0.0000 0.0000 0.5000

---

First-principles (PBE) data for crystalline Y2ZrTa at its relaxed geometry, as listed in Alexandria via LeMat-Bulk.

The value obtained for the magnetization is 0.000 μB/atom. Its space group is Cmmm. As for the formation energy: 0.358 eV/atom.

abc: 5.8465 5.8465 3.1860
angles: 90.00 90.00 113.94
Fractional coordinates of all 4 atoms:
Zr 0.5000 0.0000 0.5000
Y 0.5000 0.5000 0.0000
Ta 0.0000 0.5000 0.5000
Y 0.0000 0.0000 0.0000

---

First-principles (PBE) data for crystalline YLuGaRh at its relaxed geometry, as listed in Alexandria via LeMat-Bulk.

The value obtained for the magnetization is 0.000 μB/atom. Its space group is F-43m. As for the formation energy: -0.713 eV/atom.

abc: 4.9167 4.9167 4.9167
angles: 60.00 60.00 60.00
Fractional coordinates of all 4 atoms:
Ga 0.0000 0.0000 0.0000
Lu 0.2500 0.2500 0.2500
Y 0.7500 0.7500 0.7500
Rh 0.5000 0.5000 0.5000

---

First-principles (PBE) data for crystalline TaNi2Br at its relaxed geometry, as listed in Alexandria via LeMat-Bulk.

The value obtained for the energy relative to the elements, uncorrected is 0.217 eV/atom. The value obtained for the magnetization is 0.000 μB/atom. Its space group is P4/mmm.

abc: 3.1747 3.1747 6.3729
angles: 90.00 90.00 90.00
Fractional coordinates of all 4 atoms:
Br 0.5000 0.5000 0.7500
Ni 0.0000 0.0000 0.0361
Ta 0.5000 0.5000 0.2500
Ni 0.0000 0.0000 0.4639

---

- Which formula does entry 6 have?
  TaNi2Br